No. 1
{
  "formula": "Tb4TmSb5",
  "functional": "GGA-PBE",
  "state": "relaxed",
  "raw_formation_energy_ev_per_atom": -1.13,
  "crystal_system": "tetragonal",
  "mass_density_g_cm3": 7.86,
  "total_magnetization_mub_per_fu": 0.00,
  "lattice": [[-2.194, 2.194, 15.511], [2.194, -2.194, 15.511], [2.194, 2.194, -15.511]],
  "species": ["Tb", "Tb", "Tb", "Tb", "Tm", "Sb", "Sb", "Sb", "Sb", "Sb"],
  "frac_coords": [[0.100, 0.100, 0.000], [0.300, 0.300, 0.000], [0.700, 0.700, 0.000], [0.900, 0.900, 0.000], [0.500, 0.500, 0.000], [0.000, 0.000, 0.000], [0.200, 0.200, 0.000], [0.401, 0.401, 0.000], [0.599, 0.599, 0.000], [0.800, 0.800, 0.000]]
}


No. 2
{
  "formula": "ErAg4Hg",
  "functional": "GGA-PBE",
  "state": "relaxed",
  "e_above_lowest_polymorph_ev_per_atom": 0.000,
  "crystal_system": "cubic",
  "mass_density_g_cm3": 10.88,
  "total_magnetization_mub_per_fu": 0.00,
  "lattice": [[0.000, 3.936, 3.936], [3.936, 0.000, 3.936], [3.936, 3.936, 0.000]],
  "species": ["Er", "Ag", "Ag", "Ag", "Ag", "Hg"],
  "frac_coords": [[0.000, 0.000, 0.000], [0.125, 0.625, 0.625], [0.625, 0.125, 0.625], [0.625, 0.625, 0.125], [0.625, 0.625, 0.625], [0.250, 0.250, 0.250]]
}


No. 3
{
  "formula": "TlNi2Se",
  "functional": "GGA-PBE",
  "state": "relaxed",
  "e_above_lowest_polymorph_ev_per_atom": 0.188,
  "raw_formation_energy_ev_per_atom": 0.21,
  "crystal_system": "tetragonal",
  "mass_density_g_cm3": 10.10,
  "total_magnetization_mub_per_fu": 0.00,
  "lattice": [[3.142, 0.000, 0.000], [0.000, 3.142, 0.000], [0.000, 0.000, 6.671]],
  "species": ["Tl", "Ni", "Ni", "Se"],
  "frac_coords": [[0.000, 0.000, 0.000], [0.500, 0.500, 0.310], [0.500, 0.500, 0.690], [0.000, 0.000, 0.500]]
}